Mg3Cu5 | SCAN | PBEsol geometry

```
Mg3Cu5
1.0
3.509 -3.989 0.000
3.509 3.989 0.000
0.000 0.000 3.922
Mg Cu
3 5
Direct
0.000 0.000 0.000
0.267 0.733 0.500
0.733 0.267 0.500
0.000 0.500 0.000
0.248 0.248 0.500
0.500 0.000 0.000
0.500 0.500 0.000
0.752 0.752 0.500
```

Computed properties:
ΔH_f (0 K)   -0.0512 eV per atom
Crystal system   orthorhombic
Spin magnetization   0.0 μB per formula unit
Relative energy among the computed polymorphs   30 meV per atom